Entry 1:
## MgGaHg (PBE)

Data for a relaxed MgGaHg crystal.

ΔE_f, eV per atom: -0.076
Total magnetization, μB/atom: 0.0000
Energy relative to the lowest polymorph listed for this composition, kJ/mol of atoms: 3.4

Geometry as CIF:
```
data_MgGaHg
_chemical_formula_sum 'Mg1 Ga1 Hg1'
_cell_length_a 3.459
_cell_length_b 3.459
_cell_length_c 5.848
_cell_angle_alpha 107.20
_cell_angle_beta 107.20
_cell_angle_gamma 90.00
_symmetry_space_group_name_H-M 'P 1'
_symmetry_Int_Tables_number 1
loop_
_symmetry_equiv_pos_as_xyz
'x,y,z'
loop_
_atom_site_label
_atom_site_fract_x
_atom_site_fract_y
_atom_site_fract_z
_atom_site_occupancy
Mg1 0.620 0.620 0.239 1
Hg1 0.951 0.951 0.902 1
Ga1 0.279 0.279 0.559 1
```

Entry 2:
## V2Ga2Hg (PBE)

Data for a relaxed V2Ga2Hg crystal.

ΔE_f, eV per atom: 0.159
Total magnetization, μB/atom: 0.5518
Energy relative to the lowest polymorph listed for this composition, kJ/mol of atoms: 6.5

Geometry as CIF:
```
data_V2Ga2Hg
_chemical_formula_sum 'V4 Ga4 Hg2'
_cell_length_a 7.059
_cell_length_b 7.059
_cell_length_c 3.243
_cell_angle_alpha 90.00
_cell_angle_beta 90.00
_cell_angle_gamma 90.00
_symmetry_space_group_name_H-M 'P 1'
_symmetry_Int_Tables_number 1
loop_
_symmetry_equiv_pos_as_xyz
'x,y,z'
loop_
_atom_site_label
_atom_site_fract_x
_atom_site_fract_y
_atom_site_fract_z
_atom_site_occupancy
Hg1 0.000 0.000 0.000 1
Hg2 0.500 0.500 0.000 1
Ga1 0.374 0.874 0.000 1
Ga2 0.874 0.626 0.000 1
Ga3 0.626 0.126 0.000 1
Ga4 0.126 0.374 0.000 1
V1 0.172 0.672 0.500 1
V2 0.672 0.828 0.500 1
V3 0.828 0.328 0.500 1
V4 0.328 0.172 0.500 1
```

Entry 3:
## TaTcHRh2 (PBE)

Data for a relaxed TaTcHRh2 crystal.

Total magnetization, μB/atom: 0.0000
Energy relative to the lowest polymorph listed for this composition, kJ/mol of atoms: 0.0

Geometry as CIF:
```
data_TaTcHRh2
_chemical_formula_sum 'Ta1 Tc1 H1 Rh2'
_cell_length_a 3.912
_cell_length_b 3.912
_cell_length_c 4.052
_cell_angle_alpha 90.00
_cell_angle_beta 90.00
_cell_angle_gamma 90.00
_symmetry_space_group_name_H-M 'P 1'
_symmetry_Int_Tables_number 1
loop_
_symmetry_equiv_pos_as_xyz
'x,y,z'
loop_
_atom_site_label
_atom_site_fract_x
_atom_site_fract_y
_atom_site_fract_z
_atom_site_occupancy
H1 0.000 0.000 0.000 1
Rh1 0.000 0.500 0.000 1
Rh2 0.500 0.000 0.000 1
Tc1 0.000 0.000 0.500 1
Ta1 0.500 0.500 0.500 1
```

Entry 4:
## Np2Pa5N12 (PBE)

Data for a relaxed Np2Pa5N12 crystal.

Total magnetization, μB/atom: 0.1601
Formation energy (no corrections), eV per atom: -1.392

Geometry as CIF:
```
data_Np2Pa5N12
_chemical_formula_sum 'Np2 Pa5 N12'
_cell_length_a 6.041
_cell_length_b 7.060
_cell_length_c 7.620
_cell_angle_alpha 105.52
_cell_angle_beta 90.00
_cell_angle_gamma 115.33
_symmetry_space_group_name_H-M 'P 1'
_symmetry_Int_Tables_number 1
loop_
_symmetry_equiv_pos_as_xyz
'x,y,z'
loop_
_atom_site_label
_atom_site_fract_x
_atom_site_fract_y
_atom_site_fract_z
_atom_site_occupancy
Np1 0.775 0.000 0.000 1
Np2 0.225 0.000 0.000 1
Pa1 0.304 0.607 0.640 1
Pa2 0.305 0.611 0.167 1
Pa3 0.000 0.000 0.500 1
Pa4 0.695 0.389 0.833 1
Pa5 0.696 0.393 0.360 1
N1 0.997 0.994 0.226 1
N2 0.093 0.654 0.909 1
N3 0.561 0.654 0.909 1
N4 0.094 0.677 0.423 1
N5 0.583 0.677 0.423 1
N6 0.502 0.004 0.821 1
N7 0.498 0.996 0.179 1
N8 0.906 0.323 0.577 1
N9 0.417 0.323 0.577 1
N10 0.907 0.346 0.091 1
N11 0.439 0.346 0.091 1
N12 0.003 0.006 0.774 1
```

Entry 5:
## Y2Al2Cu (PBE)

Data for a relaxed Y2Al2Cu crystal.

ΔE_f, eV per atom: -0.342
Total magnetization, μB/atom: 0.0000
Energy relative to the lowest polymorph listed for this composition, kJ/mol of atoms: 7.9

Geometry as CIF:
```
data_Y2Al2Cu
_chemical_formula_sum 'Y4 Al4 Cu2'
_cell_length_a 6.788
_cell_length_b 6.788
_cell_length_c 4.730
_cell_angle_alpha 90.00
_cell_angle_beta 90.00
_cell_angle_gamma 90.00
_symmetry_space_group_name_H-M 'P 1'
_symmetry_Int_Tables_number 1
loop_
_symmetry_equiv_pos_as_xyz
'x,y,z'
loop_
_atom_site_label
_atom_site_fract_x
_atom_site_fract_y
_atom_site_fract_z
_atom_site_occupancy
Y1 0.169 0.669 0.500 1
Y2 0.669 0.831 0.500 1
Y3 0.831 0.331 0.500 1
Y4 0.331 0.169 0.500 1
Al1 0.361 0.861 0.000 1
Al2 0.861 0.639 0.000 1
Al3 0.639 0.139 0.000 1
Al4 0.139 0.361 0.000 1
Cu1 0.000 0.000 0.000 1
Cu2 0.500 0.500 0.000 1
```

Entry 6:
## CrTcNi4 (PBE)

Data for a relaxed CrTcNi4 crystal.

ΔE_f, eV per atom: -0.024
Total magnetization, μB/atom: 0.0458
Energy relative to the lowest polymorph listed for this composition, kJ/mol of atoms: 0.0

Geometry as CIF:
```
data_CrTcNi4
_chemical_formula_sum 'Cr1 Tc1 Ni4'
_cell_length_a 4.360
_cell_length_b 4.360
_cell_length_c 4.436
_cell_angle_alpha 79.50
_cell_angle_beta 79.50
_cell_angle_gamma 118.80
_symmetry_space_group_name_H-M 'P 1'
_symmetry_Int_Tables_number 1
loop_
_symmetry_equiv_pos_as_xyz
'x,y,z'
loop_
_atom_site_label
_atom_site_fract_x
_atom_site_fract_y
_atom_site_fract_z
_atom_site_occupancy
Cr1 0.998 0.503 0.501 1
Tc1 0.498 0.003 0.001 1
Ni1 0.330 0.171 0.501 1
Ni2 0.666 0.835 0.501 1
Ni3 0.833 0.668 0.001 1
Ni4 0.164 0.337 0.001 1
```

Entry 7:
## ScFeAg3 (PBE)

Data for a relaxed ScFeAg3 crystal.

ΔE_f, eV per atom: 1.345
Total magnetization, μB/atom: 0.6742
Energy relative to the lowest polymorph listed for this composition, kJ/mol of atoms: 63.1

Geometry as CIF:
```
data_ScFeAg3
_chemical_formula_sum 'Sc1 Fe1 Ag3'
_cell_length_a 5.038
_cell_length_b 5.038
_cell_length_c 5.038
_cell_angle_alpha 90.00
_cell_angle_beta 90.00
_cell_angle_gamma 90.00
_symmetry_space_group_name_H-M 'P 1'
_symmetry_Int_Tables_number 1
loop_
_symmetry_equiv_pos_as_xyz
'x,y,z'
loop_
_atom_site_label
_atom_site_fract_x
_atom_site_fract_y
_atom_site_fract_z
_atom_site_occupancy
Sc1 0.000 0.000 0.000 1
Fe1 0.500 0.500 0.500 1
Ag1 0.000 0.500 0.000 1
Ag2 0.000 0.000 0.500 1
Ag3 0.500 0.000 0.000 1
```

Entry 8:
## PmSm5Dy4 (PBE)

Data for a relaxed PmSm5Dy4 crystal.

ΔE_f, eV per atom: 0.286
Total magnetization, μB/atom: 0.0000
Energy relative to the lowest polymorph listed for this composition, kJ/mol of atoms: 21.2

Geometry as CIF:
```
data_PmSm5Dy4
_chemical_formula_sum 'Pm1 Sm5 Dy4'
_cell_length_a 6.312
_cell_length_b 7.928
_cell_length_c 7.928
_cell_angle_alpha 80.88
_cell_angle_beta 66.54
_cell_angle_gamma 66.54
_symmetry_space_group_name_H-M 'P 1'
_symmetry_Int_Tables_number 1
loop_
_symmetry_equiv_pos_as_xyz
'x,y,z'
loop_
_atom_site_label
_atom_site_fract_x
_atom_site_fract_y
_atom_site_fract_z
_atom_site_occupancy
Pm1 0.222 0.000 0.000 1
Sm1 0.801 0.381 0.918 1
Sm2 0.182 0.918 0.619 1
Sm3 0.719 0.082 0.381 1
Sm4 0.100 0.619 0.082 1
Sm5 0.679 0.000 0.000 1
Dy1 0.405 0.393 0.699 1
Dy2 0.799 0.699 0.607 1
Dy3 0.105 0.301 0.393 1
Dy4 0.498 0.607 0.301 1
```

Entry 9:
## LiTa2TiN4 (PBE)

Data for a relaxed LiTa2TiN4 crystal.

Total magnetization, μB/atom: 0.0000
Formation energy (no corrections), eV per atom: -1.234

Geometry as CIF:
```
data_LiTa2TiN4
_chemical_formula_sum 'Li1 Ta2 Ti1 N4'
_cell_length_a 3.065
_cell_length_b 5.290
_cell_length_c 5.269
_cell_angle_alpha 109.06
_cell_angle_beta 90.00
_cell_angle_gamma 90.00
_symmetry_space_group_name_H-M 'P 1'
_symmetry_Int_Tables_number 1
loop_
_symmetry_equiv_pos_as_xyz
'x,y,z'
loop_
_atom_site_label
_atom_site_fract_x
_atom_site_fract_y
_atom_site_fract_z
_atom_site_occupancy
Li1 0.500 0.500 0.000 1
Ta1 0.500 0.000 0.500 1
Ta2 0.000 0.500 0.500 1
Ti1 0.000 0.000 0.000 1
N1 0.500 0.252 0.245 1
N2 0.500 0.748 0.755 1
N3 0.000 0.242 0.743 1
N4 0.000 0.758 0.257 1
```

Entry 10:
## LaCdB (PBE)

Data for a relaxed LaCdB crystal.

ΔE_f, eV per atom: 0.167
Total magnetization, μB/atom: 0.0000
Energy relative to the lowest polymorph listed for this composition, kJ/mol of atoms: 49.8

Geometry as CIF:
```
data_LaCdB
_chemical_formula_sum 'La2 Cd2 B2'
_cell_length_a 4.402
_cell_length_b 7.586
_cell_length_c 4.404
_cell_angle_alpha 80.23
_cell_angle_beta 89.41
_cell_angle_gamma 113.62
_symmetry_space_group_name_H-M 'P 1'
_symmetry_Int_Tables_number 1
loop_
_symmetry_equiv_pos_as_xyz
'x,y,z'
loop_
_atom_site_label
_atom_site_fract_x
_atom_site_fract_y
_atom_site_fract_z
_atom_site_occupancy
B1 0.298 0.956 0.688 1
B2 0.125 0.456 0.359 1
La1 0.912 0.772 0.264 1
La2 0.518 0.272 0.161 1
Cd1 0.256 0.604 0.800 1
Cd2 0.887 0.105 0.671 1
```

Entry 11:
## CePr3Dy2Se6 (PBE)

Data for a relaxed CePr3Dy2Se6 crystal.

Total magnetization, μB/atom: 0.0690
Formation energy (no corrections), eV per atom: -1.814

Geometry as CIF:
```
data_CePr3Dy2Se6
_chemical_formula_sum 'Ce1 Pr3 Dy2 Se6'
_cell_length_a 7.236
_cell_length_b 7.236
_cell_length_c 7.314
_cell_angle_alpha 99.52
_cell_angle_beta 99.52
_cell_angle_gamma 120.15
_symmetry_space_group_name_H-M 'P 1'
_symmetry_Int_Tables_number 1
loop_
_symmetry_equiv_pos_as_xyz
'x,y,z'
loop_
_atom_site_label
_atom_site_fract_x
_atom_site_fract_y
_atom_site_fract_z
_atom_site_occupancy
Ce1 0.000 0.000 0.000 1
Pr1 0.165 0.835 0.500 1
Pr2 0.835 0.165 0.500 1
Pr3 0.500 0.500 0.500 1
Dy1 0.333 0.667 0.000 1
Dy2 0.667 0.333 0.000 1
Se1 0.921 0.582 0.763 1
Se2 0.739 0.739 0.235 1
Se3 0.079 0.418 0.237 1
Se4 0.582 0.921 0.763 1
Se5 0.261 0.261 0.765 1
Se6 0.418 0.079 0.237 1
```

Entry 12:
## RbBH (PBE)

Data for a relaxed RbBH crystal.

Total magnetization, μB/atom: 0.0912
Energy relative to the lowest polymorph listed for this composition, kJ/mol of atoms: 77.6

Geometry as CIF:
```
data_RbBH
_chemical_formula_sum 'Rb1 B1 H1'
_cell_length_a 3.534
_cell_length_b 3.534
_cell_length_c 4.774
_cell_angle_alpha 90.00
_cell_angle_beta 90.00
_cell_angle_gamma 90.00
_symmetry_space_group_name_H-M 'P 1'
_symmetry_Int_Tables_number 1
loop_
_symmetry_equiv_pos_as_xyz
'x,y,z'
loop_
_atom_site_label
_atom_site_fract_x
_atom_site_fract_y
_atom_site_fract_z
_atom_site_occupancy
Rb1 0.000 0.000 0.325 1
B1 0.500 0.500 0.788 1
H1 0.500 0.500 0.049 1
```

Entry 13:
## Hg2IrBr (PBE)

Data for a relaxed Hg2IrBr crystal.

Total magnetization, μB/atom: 0.0007
Energy relative to the lowest polymorph listed for this composition, kJ/mol of atoms: 12.8
Formation energy (no corrections), eV per atom: 0.442

Geometry as CIF:
```
data_Hg2IrBr
_chemical_formula_sum 'Hg2 Ir1 Br1'
_cell_length_a 4.386
_cell_length_b 5.810
_cell_length_c 5.809
_cell_angle_alpha 50.03
_cell_angle_beta 90.00
_cell_angle_gamma 90.00
_symmetry_space_group_name_H-M 'P 1'
_symmetry_Int_Tables_number 1
loop_
_symmetry_equiv_pos_as_xyz
'x,y,z'
loop_
_atom_site_label
_atom_site_fract_x
_atom_site_fract_y
_atom_site_fract_z
_atom_site_occupancy
Ir1 0.500 0.250 0.250 1
Hg1 0.000 0.089 0.089 1
Hg2 0.000 0.411 0.411 1
Br1 0.500 0.750 0.750 1
```

Entry 14:
## TaMnP2 (PBE)

Data for a relaxed TaMnP2 crystal.

ΔE_f, eV per atom: -0.616
Total magnetization, μB/atom: 0.3672
Energy relative to the lowest polymorph listed for this composition, kJ/mol of atoms: 0.0

Geometry as CIF:
```
data_TaMnP2
_chemical_formula_sum 'Ta1 Mn1 P2'
_cell_length_a 5.813
_cell_length_b 5.813
_cell_length_c 5.813
_cell_angle_alpha 147.82
_cell_angle_beta 147.28
_cell_angle_gamma 46.55
_symmetry_space_group_name_H-M 'P 1'
_symmetry_Int_Tables_number 1
loop_
_symmetry_equiv_pos_as_xyz
'x,y,z'
loop_
_atom_site_label
_atom_site_fract_x
_atom_site_fract_y
_atom_site_fract_z
_atom_site_occupancy
Mn1 0.213 0.713 0.500 1
P1 0.052 0.052 0.000 1
P2 0.779 0.279 0.500 1
Ta1 0.457 0.457 0.000 1
```

Entry 15:
## TbCd8Hg6 (PBE)

Data for a relaxed TbCd8Hg6 crystal.

ΔE_f, eV per atom: -0.014
Total magnetization, μB/atom: 0.0000
Energy relative to the lowest polymorph listed for this composition, kJ/mol of atoms: 2.2

Geometry as CIF:
```
data_TbCd8Hg6
_chemical_formula_sum 'Tb1 Cd8 Hg6'
_cell_length_a 8.538
_cell_length_b 8.538
_cell_length_c 7.975
_cell_angle_alpha 57.64
_cell_angle_beta 57.64
_cell_angle_gamma 60.00
_symmetry_space_group_name_H-M 'P 1'
_symmetry_Int_Tables_number 1
loop_
_symmetry_equiv_pos_as_xyz
'x,y,z'
loop_
_atom_site_label
_atom_site_fract_x
_atom_site_fract_y
_atom_site_fract_z
_atom_site_occupancy
Tb1 0.000 0.000 0.000 1
Cd1 0.571 0.243 0.328 1
Cd2 0.757 0.143 0.672 1
Cd3 0.143 0.429 0.672 1
Cd4 0.654 0.654 0.038 1
Cd5 0.346 0.346 0.962 1
Cd6 0.857 0.571 0.328 1
Cd7 0.243 0.857 0.328 1
Cd8 0.429 0.757 0.672 1
Hg1 0.418 0.034 0.797 1
Hg2 0.966 0.249 0.203 1
Hg3 0.249 0.582 0.203 1
Hg4 0.751 0.418 0.797 1
Hg5 0.034 0.751 0.797 1
Hg6 0.582 0.966 0.203 1
```

Entry 16:
## Ta2SnH (PBE)

Data for a relaxed Ta2SnH crystal.

Total magnetization, μB/atom: 0.0000
Energy relative to the lowest polymorph listed for this composition, kJ/mol of atoms: 0.0

Geometry as CIF:
```
data_Ta2SnH
_chemical_formula_sum 'Ta2 Sn1 H1'
_cell_length_a 3.303
_cell_length_b 3.303
_cell_length_c 6.861
_cell_angle_alpha 76.08
_cell_angle_beta 76.08
_cell_angle_gamma 59.95
_symmetry_space_group_name_H-M 'P 1'
_symmetry_Int_Tables_number 1
loop_
_symmetry_equiv_pos_as_xyz
'x,y,z'
loop_
_atom_site_label
_atom_site_fract_x
_atom_site_fract_y
_atom_site_fract_z
_atom_site_occupancy
Ta1 0.050 0.050 0.849 1
Ta2 0.283 0.283 0.155 1
Sn1 0.500 0.500 0.500 1
H1 0.668 0.668 0.996 1
```

Entry 17:
## Be5Ni4Au (PBE)

Data for a relaxed Be5Ni4Au crystal.

ΔE_f, eV per atom: -0.364
Total magnetization, μB/atom: 0.0000

Geometry as CIF:
```
data_Be5Ni4Au
_chemical_formula_sum 'Be5 Ni4 Au1'
_cell_length_a 2.681
_cell_length_b 2.681
_cell_length_c 13.663
_cell_angle_alpha 90.00
_cell_angle_beta 90.00
_cell_angle_gamma 90.00
_symmetry_space_group_name_H-M 'P 1'
_symmetry_Int_Tables_number 1
loop_
_symmetry_equiv_pos_as_xyz
'x,y,z'
loop_
_atom_site_label
_atom_site_fract_x
_atom_site_fract_y
_atom_site_fract_z
_atom_site_occupancy
Be1 0.500 0.500 0.129 1
Be2 0.500 0.500 0.311 1
Be3 0.500 0.500 0.500 1
Be4 0.500 0.500 0.689 1
Be5 0.500 0.500 0.871 1
Ni1 0.000 0.000 0.218 1
Ni2 0.000 0.000 0.406 1
Ni3 0.000 0.000 0.594 1
Ni4 0.000 0.000 0.782 1
Au1 0.000 0.000 0.000 1
```

Entry 18:
## La2Os2Cl (PBE)

Data for a relaxed La2Os2Cl crystal.

Total magnetization, μB/atom: 0.0004
Formation energy (no corrections), eV per atom: -0.363

Geometry as CIF:
```
data_La2Os2Cl
_chemical_formula_sum 'La2 Os2 Cl1'
_cell_length_a 9.050
_cell_length_b 9.050
_cell_length_c 9.050
_cell_angle_alpha 155.69
_cell_angle_beta 155.69
_cell_angle_gamma 34.65
_symmetry_space_group_name_H-M 'P 1'
_symmetry_Int_Tables_number 1
loop_
_symmetry_equiv_pos_as_xyz
'x,y,z'
loop_
_atom_site_label
_atom_site_fract_x
_atom_site_fract_y
_atom_site_fract_z
_atom_site_occupancy
La1 0.621 0.621 0.000 1
La2 0.379 0.379 0.000 1
Os1 0.250 0.750 0.500 1
Os2 0.750 0.250 0.500 1
Cl1 0.000 0.000 0.000 1
```